1.
The following is a PBE calculation of crystalline TaInTcP2 at its relaxed geometry, from the Alexandria database.

```
TaInTcP2
1.0
4.4902 0.0000 0.0000
0.0000 5.2068 0.0000
0.0000 0.0000 4.4902
Ta Tc P In
1 1 2 1
direct
0.0000 0.5000 0.0000
0.0000 0.0000 0.0000
0.0000 0.0000 0.5000
0.5000 0.0000 0.0000
0.5000 0.5000 0.5000
```

Fermi-level density of states: 0.501 states/eV/atom
Formation enthalpy at 0 K: 287 kJ/mol of formula units
Space-group type: P4/mmm (123)
Theoretical density: 7.21 Mg/m³
E: -0.4822 Ry per atom
Spin magnetization: 0.000 μB per atom

=====

2.
The following is a PBE calculation of crystalline Hf3MoH6 at its relaxed geometry, from the Alexandria database.

```
Hf3MoH6
1.0
-3.8184 -3.8678 1.9122
0.2949 -2.7875 -5.0338
4.3012 -3.2442 2.0426
H Hf Mo
12 6 2
direct
0.7918 0.4864 0.6359
0.2082 0.5136 0.3641
0.5136 0.3641 0.2082
0.8631 0.0120 0.2952
0.6359 0.7918 0.4864
0.3641 0.2082 0.5136
0.2952 0.8631 0.0120
0.0120 0.2952 0.8631
0.1369 0.9880 0.7048
0.4864 0.6359 0.7918
0.9880 0.7048 0.1369
0.7048 0.1369 0.9880
0.2497 0.5029 0.0064
0.5029 0.0064 0.2497
0.0064 0.2497 0.5029
0.4971 0.9936 0.7503
0.7503 0.4971 0.9936
0.9936 0.7503 0.4971
0.5000 0.5000 0.5000
0.0000 0.0000 0.0000
```

Fermi-level density of states: 0.349 states/eV/atom
Space-group type: R-3 (148)
Theoretical density: 11.07 Mg/m³
E: -0.4701 Ry per atom
Spin magnetization: 0.000 μB per atom

=====

3.
The following is a PBE calculation of crystalline BaZr2Pt2 at its relaxed geometry, from the Alexandria database.

```
BaZr2Pt2
1.0
4.7564 0.0000 0.0000
0.0000 4.7564 0.0000
2.3782 2.3782 5.5378
Zr Pt Ba
2 2 1
direct
0.2500 0.7500 0.5000
0.7500 0.2500 0.5000
0.6279 0.6279 0.7443
0.3721 0.3721 0.2557
0.0000 0.0000 0.0000
```

Fermi-level density of states: 0.620 states/eV/atom
Formation enthalpy at 0 K: -364 kJ/mol of formula units
Space-group type: I4/mmm (139)
Theoretical density: 9.41 Mg/m³
E: -0.5126 Ry per atom
Polymorph energy (0 for the lowest one): 0 meV per atom
Spin magnetization: 0.000 μB per atom

=====

4.
The following is a PBE calculation of crystalline CdHg6Pb at its relaxed geometry, from the Alexandria database.

```
CdHg6Pb
1.0
-0.6495 -5.4624 0.3313
1.4576 -3.3457 -6.7160
5.9683 -3.5928 -1.9115
Hg Pb Cd
6 1 1
direct
0.4983 0.7613 0.2424
0.2531 0.3771 0.1168
0.5017 0.2387 0.7576
0.7518 0.1248 0.3715
0.7469 0.6229 0.8832
0.2482 0.8752 0.6285
0.0000 0.5000 0.5000
0.0000 0.0000 0.0000
```

Fermi-level density of states: 0.242 states/eV/atom
Formation enthalpy at 0 K: 22 kJ/mol of formula units
Space-group type: P-1 (2)
Theoretical density: 11.49 Mg/m³
E: -0.0571 Ry per atom
Spin magnetization: 0.000 μB per atom

=====

5.
The following is a PBE calculation of crystalline NdMgH6Pd4 at its relaxed geometry, from the Alexandria database.

```
NdMgH6Pd4
1.0
4.7510 0.0000 0.0000
-2.3755 4.1144 0.0000
0.0000 0.0000 6.9339
Mg Pd H Nd
1 4 6 1
direct
0.0000 0.0000 0.0000
0.6667 0.3333 0.8048
0.3333 0.6667 0.1952
0.3333 0.6667 0.8048
0.6667 0.3333 0.1952
0.0000 0.5000 0.6454
0.5000 0.0000 0.6454
0.0000 0.5000 0.3546
0.5000 0.5000 0.3546
0.5000 0.0000 0.3546
0.5000 0.5000 0.6454
0.0000 0.0000 0.5000
```

Fermi-level density of states: 0.379 states/eV/atom
Space-group type: P6/mmm (191)
Theoretical density: 7.35 Mg/m³
E: -0.3130 Ry per atom
Spin magnetization: 0.000 μB per atom

=====

6.
The following is a PBE calculation of crystalline La4PmPb2 at its relaxed geometry, from the Alexandria database.

```
La4PmPb2
1.0
9.0857 0.4040 2.4464
-0.5045 8.6990 -1.1442
-2.3720 -5.4415 6.0129
La Pb Pm
8 4 2
direct
0.4019 0.1434 0.4067
0.8367 0.8141 0.5232
0.3919 0.5744 0.0215
0.8556 0.1927 0.1384
0.7601 0.4788 0.6717
0.9935 0.6075 0.1000
0.4954 0.8532 0.8324
0.2467 0.0635 0.7428
0.7078 0.8996 0.2136
0.6343 0.2111 0.8029
0.5377 0.4196 0.2793
0.0687 0.2368 0.5412
0.2048 0.4539 0.3381
0.1150 0.8014 0.8882
```

Fermi-level density of states: 1.171 states/eV/atom
Formation enthalpy at 0 K: -180 kJ/mol of formula units
Space-group type: P1 (1)
Theoretical density: 7.74 Mg/m³
E: -0.3543 Ry per atom
Polymorph energy (0 for the lowest one): 70 meV per atom
Spin magnetization: 0.000 μB per atom

=====

7.
The following is a PBE calculation of crystalline KGaH at its relaxed geometry, from the Alexandria database.

```
KGaH
1.0
-2.5785 -3.0236 -2.0531
-0.3671 -3.2153 5.1964
-2.7674 5.8105 -0.2061
K Ga H
2 2 2
direct
0.9097 0.1599 0.3198
0.0903 0.8401 0.6802
0.2936 0.5435 0.0871
0.7064 0.4565 0.9129
0.5486 0.2987 0.5975
0.4514 0.7013 0.4025
```

Fermi-level density of states: 0.236 states/eV/atom
Space-group type: Imma (74)
Theoretical density: 2.56 Mg/m³
E: -0.1919 Ry per atom
Polymorph energy (0 for the lowest one): 75 meV per atom
Spin magnetization: 0.000 μB per atom

=====

8.
The following is a PBE calculation of crystalline PmTmLuHg at its relaxed geometry, from the Alexandria database.

```
PmTmLuHg
1.0
5.3744 0.0000 0.0000
2.6872 4.6544 0.0000
2.6872 1.5515 4.3882
Lu Hg Pm Tm
1 1 1 1
direct
0.7500 0.7500 0.7500
0.0000 0.0000 0.0000
0.5000 0.5000 0.5000
0.2500 0.2500 0.2500
```

Fermi-level density of states: 1.681 states/eV/atom
Formation enthalpy at 0 K: 3 kJ/mol of formula units
Space-group type: F-43m (216)
Theoretical density: 10.43 Mg/m³
E: -0.2576 Ry per atom
Spin magnetization: 0.301 μB per atom

=====

9.
The following is a PBE calculation of crystalline Rb3InBr4 at its relaxed geometry, from the Alexandria database.

```
Rb3InBr4
1.0
6.3289 0.0058 -2.8055
-1.2489 6.2045 -2.8054
-0.0262 -0.0322 8.4825
In Br Rb
1 4 3
direct
0.0000 0.0000 0.0000
0.7569 0.7569 0.5139
0.5000 0.0000 0.0000
0.2431 0.2431 0.4861
0.0000 0.5000 0.0000
0.5000 0.5000 0.0000
0.2500 0.7500 0.5000
0.7500 0.2500 0.5000
```

Fermi-level density of states: 0.000 states/eV/atom
Energy relative to the elements, uncorrected: -1475 meV per atom
Space-group type: I4/mmm (139)
Theoretical density: 3.46 Mg/m³
E: -0.2217 Ry per atom
Polymorph energy (0 for the lowest one): 0 meV per atom
Spin magnetization: 0.000 μB per atom

=====

10.
The following is a PBE calculation of crystalline Pr2Sn2Au at its relaxed geometry, from the Alexandria database.

```
Pr2Sn2Au
1.0
4.6976 0.0000 0.0000
2.3488 5.7720 -0.4420
2.3488 0.1129 10.1360
Au Sn Pr
2 4 4
direct
0.3760 0.9113 0.3368
0.6240 0.0887 0.6632
0.0857 0.2658 0.5627
0.6479 0.8166 0.8875
0.9143 0.7342 0.4373
0.3521 0.1834 0.1125
0.3231 0.6815 0.6723
0.9260 0.2571 0.8909
0.6769 0.3185 0.3277
0.0740 0.7429 0.1091
```

Fermi-level density of states: 0.862 states/eV/atom
Formation enthalpy at 0 K: -375 kJ/mol of formula units
Space-group type: C2/m (12)
Theoretical density: 8.65 Mg/m³
E: -0.3635 Ry per atom
Spin magnetization: 0.000 μB per atom

=====

11.
The following is a PBE calculation of crystalline RbCrGeCl5 at its relaxed geometry, from the Alexandria database.

```
RbCrGeCl5
1.0
7.4674 -0.2831 0.4789
-2.4506 7.0595 0.4789
-1.5680 -2.1179 8.5841
Cr Rb Cl Ge
2 2 10 2
direct
0.0000 0.0000 0.5000
0.0000 0.0000 0.0000
0.6590 0.3410 0.7500
0.3410 0.6590 0.2500
0.9278 0.0722 0.7500
0.6685 0.1233 0.3931
0.3315 0.8767 0.6069
0.6748 0.7833 0.9880
0.7833 0.6748 0.4880
0.3252 0.2167 0.0120
0.2167 0.3252 0.5120
0.0722 0.9278 0.2500
0.1233 0.6685 0.8931
0.8767 0.3315 0.1069
0.6431 0.3569 0.2500
0.3569 0.6431 0.7500
```

Energy relative to the elements, uncorrected: -1117 meV per atom
Space-group type: C2/c (15)
Theoretical density: 2.78 Mg/m³
E: -0.3067 Ry per atom
Spin magnetization: 0.500 μB per atom

=====

12.
The following is a PBE calculation of crystalline Mg5Pb24 at its relaxed geometry, from the Alexandria database.

```
Mg5Pb24
1.0
-2.6005 -3.2513 -9.7073
-7.4572 -3.0243 6.8416
0.7980 10.5318 0.0897
Mg Pb
5 24
direct
0.0000 0.6633 0.0000
0.3367 0.3367 0.3367
0.0000 0.0000 0.0000
0.6633 0.0000 0.0000
0.0000 0.0000 0.6633
0.4164 0.0000 0.6971
0.8060 0.8060 0.1866
0.3029 0.7193 0.3029
0.3029 0.3029 0.7193
0.2807 0.5836 0.5836
0.8134 0.6194 0.6194
0.0000 0.1940 0.3806
0.0000 0.3806 0.1940
0.6971 0.0000 0.4164
0.1940 0.3806 0.0000
0.6194 0.6194 0.8134
0.6194 0.8134 0.6194
0.0000 0.6971 0.4164
0.8060 0.1866 0.8060
0.1866 0.8060 0.8060
0.1940 0.0000 0.3806
0.4164 0.6971 0.0000
0.3806 0.0000 0.1940
0.6971 0.4164 0.0000
0.7193 0.3029 0.3029
0.3806 0.1940 0.0000
0.5836 0.2807 0.5836
0.5836 0.5836 0.2807
0.0000 0.4164 0.6971
```

Fermi-level density of states: 0.592 states/eV/atom
Formation enthalpy at 0 K: 177 kJ/mol of formula units
Space-group type: I-43m (217)
Theoretical density: 9.33 Mg/m³
E: -0.2411 Ry per atom
Spin magnetization: 0.000 μB per atom

=====

13.
The following is a PBE calculation of crystalline Sr2PmSb4Pd3 at its relaxed geometry, from the Alexandria database.

```
Sr2PmSb4Pd3
1.0
-4.1147 -2.0864 -0.3864
-0.1114 -0.6295 4.5852
-5.6072 10.8085 1.3477
Pd Sb Pm Sr
3 4 1 2
direct
0.0000 0.0000 0.5000
0.0000 0.5000 0.1209
0.5000 0.0000 0.8791
0.0000 0.0000 0.0000
0.5000 0.0000 0.6583
0.5000 0.5000 0.0000
0.0000 0.5000 0.3417
0.5000 0.5000 0.5000
0.5000 0.0000 0.2310
0.0000 0.5000 0.7690
```

Fermi-level density of states: 0.399 states/eV/atom
Energy relative to the elements, uncorrected: -822 meV per atom
Space-group type: P-4m2 (115)
Theoretical density: 7.12 Mg/m³
E: -0.3558 Ry per atom
Spin magnetization: 0.000 μB per atom

=====

14.
The following is a PBE calculation of crystalline KTl12Au5 at its relaxed geometry, from the Alexandria database.

```
KTl12Au5
1.0
8.1227 -0.6319 -3.2417
-4.5278 7.2448 -1.9744
-0.1382 0.6319 8.7446
K Tl Au
1 12 5
direct
0.0000 0.5000 0.5000
0.7084 0.6827 0.3910
0.5483 0.8185 0.7299
0.9114 0.1815 0.7299
0.2916 0.6827 0.9743
0.0886 0.8185 0.2701
0.2916 0.3173 0.6090
0.4517 0.1815 0.2701
0.8053 0.5702 0.7649
0.7084 0.3173 0.0257
0.1947 0.4298 0.2351
0.8053 0.0405 0.2351
0.1947 0.9595 0.7649
0.5000 0.8710 0.3710
0.6528 0.6528 0.0000
0.0000 0.0000 0.0000
0.3472 0.3472 0.0000
0.5000 0.1290 0.6290
```

Fermi-level density of states: 0.507 states/eV/atom
Formation enthalpy at 0 K: -59 kJ/mol of formula units
Space-group type: Immm (71)
Theoretical density: 11.42 Mg/m³
E: -0.1898 Ry per atom
Spin magnetization: 0.000 μB per atom